{
  "formula": "Li4Mn5CuO12",
  "functional": "PBE with a Hubbard U",
  "state": "relaxed",
  "lattice": [[4.499, 2.496, -0.017], [-4.499, 2.496, -0.017], [0.000, 0.253, 10.108]],
  "species": ["O", "O", "O", "O", "O", "O", "O", "O", "O", "O", "O", "O", "Mn", "Mn", "Mn", "Mn", "Mn", "Cu", "Li", "Li", "Li", "Li"],
  "frac_coords": [[0.978, 0.669, 0.392], [0.902, 0.456, 0.894], [0.956, 0.399, 0.608], [0.910, 0.747, 0.106], [0.253, 0.090, 0.894], [0.215, 0.427, 0.100], [0.601, 0.044, 0.392], [0.304, 0.367, 0.402], [0.573, 0.785, 0.900], [0.331, 0.022, 0.608], [0.544, 0.098, 0.106], [0.633, 0.696, 0.598], [0.633, 0.367, 0.500], [0.900, 0.100, 0.000], [0.233, 0.767, 0.000], [0.302, 0.698, 0.500], [0.565, 0.435, 0.000], [0.964, 0.036, 0.500], [0.978, 0.756, 0.741], [0.627, 0.112, 0.757], [0.888, 0.373, 0.243], [0.244, 0.022, 0.259]],
  "e_tot_ev_per_atom": -6.42,
  "polymorph_energy_mev_per_atom": 47,
  "crystal_system": "monoclinic"
}